Computed, not measured: a geometry-optimized HfZr2UP4 structure at the PBE level of DFT.

- spin magnetization (μB per cell) = 1.6
- uncorrected energy (eV per atom) = -8.757
- energy of formation (eV per formula unit) = -10.079

Lattice parameters (Å, degrees): 6.523 3.784 6.526 90.00 109.31 90.00
Element x y z (fractional)
Hf 0.000 0.000 0.000
Zr 0.000 0.500 0.500
Zr 0.500 0.000 0.500
U 0.500 0.500 0.000
P 0.243 0.000 0.746
P 0.245 0.500 0.248
P 0.755 0.500 0.752
P 0.757 0.000 0.254